A relaxed Mn2InHO crystal. Source: Alexandria, functional PBE with a Hubbard U.

Values from the calculation:
- calculated volume (Å³/atom) = 16.9
- E (eV per atom) = -5.209
- spin magnetization (μB per cell) = 9.2

a b c (Å): 4.038 4.038 5.197
angles (deg): 90.00 90.00 90.00
Fractional positions:
Mn1 0.000 0.500 0.000
Mn2 0.500 0.000 0.000
In1 0.000 0.000 0.500
H1 0.500 0.500 0.500
O1 0.500 0.500 0.000